Entry 1:
Below is W7O6F30 at its PBEsol-relaxed geometry, with properties calculated at the SCAN level.

```
data_W7O6F30
_chemical_formula_sum 'W7 O6 F30'
_cell_length_a 9.040
_cell_length_b 9.206
_cell_length_c 9.267
_cell_angle_alpha 115.86
_cell_angle_beta 99.79
_cell_angle_gamma 99.54
_symmetry_space_group_name_H-M 'P -1'
_symmetry_Int_Tables_number 2
loop_
_symmetry_equiv_pos_as_xyz
'x,y,z'
'-x,-y,-z'
loop_
_atom_site_label
_atom_site_type_symbol
_atom_site_fract_x
_atom_site_fract_y
_atom_site_fract_z
W1 W 0.000 0.000 0.000
W2 W 0.236 0.745 0.759
W3 W 0.240 0.069 0.404
W4 W 0.261 0.404 0.087
O1 O 0.097 0.214 0.027
O2 O 0.123 0.899 0.857
O3 O 0.157 0.037 0.188
F1 F 0.056 0.573 0.684
F2 F 0.061 0.908 0.365
F3 F 0.133 0.547 0.141
F4 F 0.143 0.239 0.486
F5 F 0.187 0.749 0.559
F6 F 0.213 0.378 0.874
F7 F 0.288 0.740 0.960
F8 F 0.303 0.097 0.618
F9 F 0.306 0.435 0.304
F10 F 0.342 0.903 0.326
F11 F 0.344 0.585 0.675
F12 F 0.389 0.261 0.030
F13 F 0.416 0.916 0.828
F14 F 0.420 0.224 0.440
F15 F 0.434 0.581 0.154
```

formation energy without anion corrections	-2.6114	eV/atom
total energy	-17.30	eV per atom



Entry 2:
Below is Hg2SbAs at its PBEsol-relaxed geometry, with properties calculated at the SCAN level.

```
data_Hg2SbAs
_chemical_formula_sum 'Hg2 Sb1 As1'
_cell_length_a 3.730
_cell_length_b 4.916
_cell_length_c 4.942
_cell_angle_alpha 90.00
_cell_angle_beta 90.00
_cell_angle_gamma 90.00
_symmetry_space_group_name_H-M 'P m m m'
_symmetry_Int_Tables_number 47
loop_
_symmetry_equiv_pos_as_xyz
'x,y,z'
'-x,-y,-z'
'-x,-y,z'
'x,y,-z'
'x,-y,-z'
'-x,y,z'
'-x,y,-z'
'x,-y,z'
loop_
_atom_site_label
_atom_site_type_symbol
_atom_site_fract_x
_atom_site_fract_y
_atom_site_fract_z
Hg1 Hg 0.000 0.000 0.000
Hg2 Hg 0.500 0.500 0.000
Sb1 Sb 0.000 0.500 0.500
As1 As 0.500 0.000 0.500
```

formation energy without anion corrections	0.3165	eV/atom
total energy	-48.13	eV per atom
offset from the most stable computed form	1.11	eV per formula unit



Entry 3:
Below is Li2CuPt at its PBEsol-relaxed geometry, with properties calculated at the SCAN level.

```
data_Li2CuPt
_chemical_formula_sum 'Li2 Cu1 Pt1'
_cell_length_a 2.877
_cell_length_b 4.174
_cell_length_c 4.234
_cell_angle_alpha 90.00
_cell_angle_beta 90.00
_cell_angle_gamma 90.00
_symmetry_space_group_name_H-M 'P m m m'
_symmetry_Int_Tables_number 47
loop_
_symmetry_equiv_pos_as_xyz
'x,y,z'
'-x,-y,-z'
'-x,-y,z'
'x,y,-z'
'x,-y,-z'
'-x,y,z'
'-x,y,-z'
'x,-y,z'
loop_
_atom_site_label
_atom_site_type_symbol
_atom_site_fract_x
_atom_site_fract_y
_atom_site_fract_z
Li1 Li 0.000 0.000 0.000
Li2 Li 0.500 0.000 0.500
Cu1 Cu 0.000 0.500 0.500
Pt1 Pt 0.500 0.500 0.000
```

total energy	-22.96	eV per atom
energy of formation from the pure elements	-0.4219	eV/atom
offset from the most stable computed form	0.02	eV per formula unit